Material: Li2YTc
Method: DFT, PBE
State: optimized geometry

Output
Relative energy among the computed polymorphs: 223 meV/atom
DOS at the Fermi energy: 14.607 states/eV/cell
Symmetry: I-42d, No. 122
ΔH_f (0 K): 0.48 eV per atom

```
16
Lattice="3.912 0.000 0.000 0.000 3.912 0.000 0.000 0.000 21.261" Properties=species:S:1:pos:R:3 pbc="T T T"
Li 0.788 2.934 2.658
Li 0.978 0.788 18.603
Li 0.978 1.168 7.973
Li 1.168 2.934 13.288
Li 2.744 0.978 13.288
Li 2.934 2.744 7.973
Li 2.934 3.124 18.603
Li 3.124 0.978 2.658
Y 0.000 0.000 10.630
Y 0.000 1.956 15.945
Y 1.956 0.000 5.315
Y 1.956 1.956 0.000
Tc 0.000 0.000 0.000
Tc 0.000 1.956 5.315
Tc 1.956 0.000 15.945
Tc 1.956 1.956 10.630
```

Material: LiYTc2
Method: DFT, PBE
State: optimized geometry

Output
Relative energy among the computed polymorphs: 321 meV/atom
DOS at the Fermi energy: 7.548 states/eV/cell
Symmetry: Cmmm, No. 65
ΔH_f (0 K): 0.45 eV per atom

```
8
Lattice="5.243 0.000 0.000 0.000 9.428 0.000 0.000 0.000 2.789" Properties=species:S:1:pos:R:3 pbc="T T T"
Li 0.000 0.000 0.000
Li 2.622 4.714 0.000
Y 0.000 4.714 0.000
Y 2.622 0.000 0.000
Tc 1.311 2.357 1.394
Tc 1.311 7.071 1.394
Tc 3.932 2.357 1.394
Tc 3.932 7.071 1.394
```